(1)
YGa2Os2 GGA-PBE relaxed; E above lowest polymorph = 0.146 eV/atom; spin magnetization = 0.0 μB/f.u.
1.0
7.519 0.000 0.000
0.000 7.519 0.000
0.000 0.000 2.976
Y Ga Os
2 4 4
Direct
0.000 0.000 0.000
0.500 0.500 0.000
0.157 0.343 0.500
0.343 0.843 0.500
0.657 0.157 0.500
0.843 0.657 0.500
0.137 0.637 0.000
0.363 0.137 0.000
0.637 0.863 0.000
0.863 0.363 0.000

(2)
Er2Al2MoRu5 GGA-PBE relaxed; spin magnetization = 0.0 μB/f.u.
1.0
10.085 0.000 0.000
0.000 10.085 0.000
0.000 0.000 3.251
Er Al Mo Ru
4 4 2 10
Direct
0.171 0.329 0.000
0.329 0.829 0.000
0.671 0.171 0.000
0.829 0.671 0.000
0.127 0.627 0.000
0.373 0.127 0.000
0.627 0.873 0.000
0.873 0.373 0.000
0.000 0.000 0.000
0.500 0.500 0.000
0.000 0.500 0.500
0.066 0.803 0.500
0.197 0.066 0.500
0.303 0.566 0.500
0.434 0.303 0.500
0.500 0.000 0.500
0.566 0.697 0.500
0.697 0.434 0.500
0.803 0.934 0.500
0.934 0.197 0.500

| no. | energy relative to the elements (eV per atom) | volume (Å³ per atom) |
| --- | --- | --- |
| 1 | -0.064 | 16.83 |
| 2 | -0.381 | 16.53 |